[1]
# CuTcI3

Crystalline CuTcI3 at its relaxed geometry (PBE, Alexandria).

## Properties
M_tot (μB/atom): 0.540
Formation energy from raw total energies (eV per formula unit): 3.6
Energy above the lowest structure with this stoichiometry (meV per atom): 0.0
Symmetry: No. 221

Geometry as extended XYZ:
```
5
Lattice="5.511 0.000 0.000 0.000 5.511 0.000 0.000 0.000 5.511" Properties=species:S:1:pos:R:3 pbc="T T T"
Cu 0.000 0.000 0.000
Tc 2.755 2.755 2.755
I 0.000 2.755 2.755
I 2.755 0.000 2.755
I 2.755 2.755 0.000
```

---

[2]
# CuTcI6

Crystalline CuTcI6 at its relaxed geometry (PBE, Alexandria).

## Properties
M_tot (μB/atom): 0.339
Formation energy from raw total energies (eV per formula unit): -0.2
Symmetry: No. 12

Geometry as extended XYZ:
```
8
Lattice="3.672 -6.370 0.000 3.672 6.370 0.000 -3.314 0.000 6.571" Properties=species:S:1:pos:R:3 pbc="T T T"
Cu 0.000 0.000 0.000
Tc 2.015 0.000 3.286
I 0.971 1.891 1.597
I -0.292 0.000 4.710
I 0.971 -1.891 1.597
I 3.058 1.891 4.975
I 4.322 0.000 1.861
I 3.058 -1.891 4.975
```